! GGA-PBE Ta2Ti3Mo, optimized geometry; values from VASP
! * M_tot: 0.000 μB/cell
! * formation enthalpy at 0 K: -0.11 eV per formula unit
! * density: 9.70 g/cm³
! * DOS at the Fermi energy: 17.7 states/eV per cell
&SYSTEM
  ibrav = 0, nat = 12, ntyp = 3
/
ATOMIC_SPECIES
Ta 180.95 Ta.upf
Ti 47.87 Ti.upf
Mo 95.94 Mo.upf
ATOMIC_POSITIONS crystal
Ta 0.1248 0.1224 0.3723
Ta 0.3692 0.7093 0.4653
Ta 0.6308 0.2907 0.5347
Ta 0.8752 0.8776 0.6277
Ti 0.1224 0.4547 0.7294
Ti 0.3474 0.3935 0.1203
Ti 0.3969 0.0385 0.8039
Ti 0.6031 0.9615 0.1961
Ti 0.6526 0.6065 0.8797
Ti 0.8776 0.5453 0.2706
Mo 0.1208 0.8073 0.0440
Mo 0.8792 0.1927 0.9560
CELL_PARAMETERS angstrom
5.3407 0.0000 0.0000
-0.5042 5.3510 0.0000
-0.9364 -1.2076 7.2071

! GGA-PBE Ta6TiMo, optimized geometry; values from VASP
! * M_tot: 0.000 μB/cell
! * formation enthalpy at 0 K: -0.21 eV per formula unit
! * density: 14.38 g/cm³
! * energy above the most stable polymorph in this dataset: 0.00 kcal/mol of atoms
! * DOS at the Fermi energy: 43.9 states/eV per cell
&SYSTEM
  ibrav = 0, nat = 32, ntyp = 3
/
ATOMIC_SPECIES
Ta 180.95 Ta.upf
Ti 47.87 Ti.upf
Mo 95.94 Mo.upf
ATOMIC_POSITIONS crystal
Ta 0.0000 0.0000 0.0000
Ta 0.0000 0.0000 0.5000
Ta 0.1265 0.3813 0.3772
Ta 0.1265 0.3813 0.6228
Ta 0.1336 0.3775 0.1275
Ta 0.1336 0.3775 0.8725
Ta 0.2457 0.7543 0.2477
Ta 0.2457 0.7543 0.7523
Ta 0.3775 0.1336 0.1275
Ta 0.3775 0.1336 0.8725
Ta 0.3813 0.1265 0.3772
Ta 0.3813 0.1265 0.6228
Ta 0.5000 0.5000 0.0000
Ta 0.5000 0.5000 0.5000
Ta 0.6187 0.8735 0.3772
Ta 0.6187 0.8735 0.6228
Ta 0.6225 0.8664 0.1275
Ta 0.6225 0.8664 0.8725
Ta 0.7543 0.2457 0.2477
Ta 0.7543 0.2457 0.7523
Ta 0.8664 0.6225 0.1275
Ta 0.8664 0.6225 0.8725
Ta 0.8735 0.6187 0.3772
Ta 0.8735 0.6187 0.6228
Ti 0.0000 0.0000 0.2561
Ti 0.0000 0.0000 0.7439
Ti 0.2480 0.7520 0.0000
Ti 0.7520 0.2480 0.0000
Mo 0.2504 0.7496 0.5000
Mo 0.5000 0.5000 0.2518
Mo 0.5000 0.5000 0.7482
Mo 0.7496 0.2504 0.5000
CELL_PARAMETERS angstrom
3.2917 -6.5760 0.0000
3.2917 6.5760 0.0000
0.0000 0.0000 13.1138

! GGA-PBE TaTiMo, optimized geometry; values from VASP
! * M_tot: 0.000 μB/cell
! * formation enthalpy at 0 K: -0.32 eV per formula unit
! * density: 10.65 g/cm³
! * energy above the most stable polymorph in this dataset: 0.51 kcal/mol of atoms
! * DOS at the Fermi energy: 8.2 states/eV per cell
&SYSTEM
  ibrav = 0, nat = 6, ntyp = 3
/
ATOMIC_SPECIES
Ta 180.95 Ta.upf
Ti 47.87 Ti.upf
Mo 95.94 Mo.upf
ATOMIC_POSITIONS crystal
Ta 0.0000 0.0000 0.0000
Ta 0.6886 0.6886 0.3595
Ti 0.0337 0.0337 0.5281
Ti 0.3408 0.3408 0.1583
Mo 0.3562 0.3562 0.6780
Mo 0.6762 0.6762 0.8451
CELL_PARAMETERS angstrom
4.8764 -2.2503 0.0000
4.8764 2.2503 0.0000
-3.2237 0.0000 4.6158

! GGA-PBE TaTiMo, optimized geometry; values from VASP
! * M_tot: 0.000 μB/cell
! * formation enthalpy at 0 K: -0.26 eV per formula unit
! * density: 10.66 g/cm³
! * energy above the most stable polymorph in this dataset: 1.00 kcal/mol of atoms
! * DOS at the Fermi energy: 4.4 states/eV per cell
&SYSTEM
  ibrav = 0, nat = 3, ntyp = 3
/
ATOMIC_SPECIES
Ta 180.95 Ta.upf
Ti 47.87 Ti.upf
Mo 95.94 Mo.upf
ATOMIC_POSITIONS crystal
Ta 0.0000 0.0000 0.0000
Ti 0.3201 0.3172 0.3730
Mo 0.6591 0.6573 0.6897
CELL_PARAMETERS angstrom
3.2352 0.0000 0.0000
0.0451 3.2363 0.0000
1.5674 1.5751 4.8315

! GGA-PBE TaTiMo, optimized geometry; values from VASP
! * M_tot: 0.000 μB/cell
! * formation enthalpy at 0 K: -0.28 eV per formula unit
! * density: 10.63 g/cm³
! * energy above the most stable polymorph in this dataset: 0.86 kcal/mol of atoms
! * DOS at the Fermi energy: 7.3 states/eV per cell
&SYSTEM
  ibrav = 0, nat = 6, ntyp = 3
/
ATOMIC_SPECIES
Ta 180.95 Ta.upf
Ti 47.87 Ti.upf
Mo 95.94 Mo.upf
ATOMIC_POSITIONS crystal
Ta 0.1983 0.2500 0.0893
Ta 0.8017 0.7500 0.9107
Ti 0.2106 0.7500 0.5801
Ti 0.7894 0.2500 0.4199
Mo 0.4983 0.7500 0.2503
Mo 0.5017 0.2500 0.7497
CELL_PARAMETERS angstrom
2.8757 0.0000 0.0000
0.0000 4.4977 0.0000
-0.0309 0.0000 7.8429

! GGA-PBE Ta5Ti5Mo2, optimized geometry; values from VASP
! * M_tot: 0.001 μB/cell
! * formation enthalpy at 0 K: -0.32 eV per formula unit
! * density: 10.71 g/cm³
! * DOS at the Fermi energy: 16.9 states/eV per cell
&SYSTEM
  ibrav = 0, nat = 12, ntyp = 3
/
ATOMIC_SPECIES
Ta 180.95 Ta.upf
Ti 47.87 Ti.upf
Mo 95.94 Mo.upf
ATOMIC_POSITIONS crystal
Ta 0.0000 0.0000 0.0000
Ta 0.1560 0.1560 0.8107
Ta 0.4103 0.4103 0.0706
Ta 0.5897 0.5897 0.9294
Ta 0.8440 0.8440 0.1893
Ti 0.2462 0.2462 0.2332
Ti 0.3294 0.3294 0.6522
Ti 0.5000 0.5000 0.5000
Ti 0.6706 0.6706 0.3478
Ti 0.7538 0.7538 0.7668
Mo 0.0874 0.0874 0.4178
Mo 0.9126 0.9126 0.5822
CELL_PARAMETERS angstrom
6.8865 -2.2968 0.0000
6.8865 2.2968 0.0000
-4.5664 0.0000 6.5454

! GGA-PBE Ta14TiMo, optimized geometry; values from VASP
! * M_tot: 0.001 μB/cell
! * formation enthalpy at 0 K: -0.21 eV per formula unit
! * density: 15.39 g/cm³
! * DOS at the Fermi energy: 21.6 states/eV per cell
&SYSTEM
  ibrav = 0, nat = 16, ntyp = 3
/
ATOMIC_SPECIES
Ta 180.95 Ta.upf
Ti 47.87 Ti.upf
Mo 95.94 Mo.upf
ATOMIC_POSITIONS crystal
Ta 0.0000 0.0000 0.0000
Ta 0.0000 0.5000 0.0000
Ta 0.0000 0.5000 0.5000
Ta 0.2444 0.7556 0.2500
Ta 0.2444 0.7556 0.7500
Ta 0.2576 0.2576 0.2563
Ta 0.2576 0.2576 0.7437
Ta 0.5000 0.0000 0.0000
Ta 0.5000 0.0000 0.5000
Ta 0.5000 0.5000 0.0000
Ta 0.7424 0.7424 0.2563
Ta 0.7424 0.7424 0.7437
Ta 0.7556 0.2444 0.2500
Ta 0.7556 0.2444 0.7500
Ti 0.0000 0.0000 0.5000
Mo 0.5000 0.5000 0.5000
CELL_PARAMETERS angstrom
3.3205 -4.6636 0.0000
3.3205 4.6636 0.0000
0.0000 0.0000 9.3281

! GGA-PBE TaTiMo3, optimized geometry; values from VASP
! * M_tot: 0.000 μB/cell
! * formation enthalpy at 0 K: 1.23 eV per formula unit
! * density: 10.18 g/cm³
! * energy above the most stable polymorph in this dataset: 0.00 kcal/mol of atoms
! * DOS at the Fermi energy: 22.4 states/eV per cell
&SYSTEM
  ibrav = 0, nat = 20, ntyp = 3
/
ATOMIC_SPECIES
Ta 180.95 Ta.upf
Ti 47.87 Ti.upf
Mo 95.94 Mo.upf
ATOMIC_POSITIONS crystal
Ta 0.0513 0.2500 0.2500
Ta 0.4487 0.7500 0.2500
Ta 0.5513 0.2500 0.7500
Ta 0.9487 0.7500 0.7500
Ti 0.2500 0.0000 0.1474
Ti 0.2500 0.5000 0.3526
Ti 0.7500 0.0000 0.8526
Ti 0.7500 0.5000 0.6474
Mo 0.0589 0.7500 0.2500
Mo 0.1477 0.0000 0.6966
Mo 0.1477 0.5000 0.8034
Mo 0.3523 0.0000 0.6966
Mo 0.3523 0.5000 0.8034
Mo 0.4411 0.2500 0.2500
Mo 0.5589 0.7500 0.7500
Mo 0.6477 0.0000 0.3034
Mo 0.6477 0.5000 0.1966
Mo 0.8523 0.0000 0.3034
Mo 0.8523 0.5000 0.1966
Mo 0.9411 0.2500 0.7500
CELL_PARAMETERS angstrom
13.5524 0.0000 0.0000
0.0000 5.2239 0.0000
0.0000 0.0000 4.7602

! GGA-PBE Ta3TiMo, optimized geometry; values from VASP
! * M_tot: 0.000 μB/cell
! * formation enthalpy at 0 K: 1.72 eV per formula unit
! * density: 12.53 g/cm³
! * energy above the most stable polymorph in this dataset: 8.98 kcal/mol of atoms
! * DOS at the Fermi energy: 11.8 states/eV per cell
&SYSTEM
  ibrav = 0, nat = 10, ntyp = 3
/
ATOMIC_SPECIES
Ta 180.95 Ta.upf
Ti 47.87 Ti.upf
Mo 95.94 Mo.upf
ATOMIC_POSITIONS crystal
Ta 0.0003 0.0003 0.2430
Ta 0.9997 0.9997 0.7570
Ta 0.2066 0.2066 0.8581
Ta 0.3067 0.3067 0.6424
Ta 0.6933 0.6933 0.3576
Ta 0.7934 0.7934 0.1419
Ti 0.1043 0.1043 0.5464
Ti 0.8957 0.8957 0.4536
Mo 0.4041 0.4041 0.9543
Mo 0.5959 0.5959 0.0457
CELL_PARAMETERS angstrom
7.3184 -1.3533 0.0000
7.3184 1.3533 0.0000
-3.1944 0.0000 9.1857

! GGA-PBE Ta2TiMo2, optimized geometry; values from VASP
! * M_tot: 0.000 μB/cell
! * formation enthalpy at 0 K: 1.66 eV per formula unit
! * density: 11.16 g/cm³
! * energy above the most stable polymorph in this dataset: 0.00 kcal/mol of atoms
! * DOS at the Fermi energy: 8.4 states/eV per cell
&SYSTEM
  ibrav = 0, nat = 10, ntyp = 3
/
ATOMIC_SPECIES
Ta 180.95 Ta.upf
Ti 47.87 Ti.upf
Mo 95.94 Mo.upf
ATOMIC_POSITIONS crystal
Ta 0.0671 0.9329 0.7500
Ta 0.3155 0.6845 0.2500
Ta 0.6845 0.3155 0.7500
Ta 0.9329 0.0671 0.2500
Ti 0.5000 0.5000 0.0000
Ti 0.5000 0.5000 0.5000
Mo 0.0988 0.3921 0.7500
Mo 0.3921 0.0988 0.2500
Mo 0.6079 0.9012 0.7500
Mo 0.9012 0.6079 0.2500
CELL_PARAMETERS angstrom
2.6545 -6.7667 0.0000
2.6545 6.7667 0.0000
0.0000 0.0000 4.9841